Entry 1:
Entry from OQMD: crystalline Mg2U at its relaxed geometry (PBE).

Properties
Raw total energy = -4.59 eV/atom

a = 2.9021 Å, b = 18.2074 Å, c = 4.8668 Å
α = 90.00°, β = 90.00°, γ = 90.00°
Space group Cmcm (No. 63)
One atom of each set of equivalent atoms:
Mg 0.0000 0.1261 0.2500
Mg 0.0000 0.2135 0.7500
U 0.0000 0.4694 0.2500

=====

Entry 2:
Entry from OQMD: crystalline Mg2U at its relaxed geometry (PBE).

Properties
Raw total energy = -4.38 eV/atom

a = 2.8960 Å, b = 17.7718 Å, c = 5.5237 Å
α = 90.00°, β = 90.00°, γ = 90.00°
Space group Cmcm (No. 63)
One atom of each set of equivalent atoms:
Mg 0.0000 0.0523 0.2500
Mg 0.0000 0.2853 0.7500
U 0.0000 0.3853 0.2500

=====

Entry 3:
Entry from OQMD: crystalline MgU at its relaxed geometry (PBE).

Properties
Raw total energy = -6.10 eV/atom

a = 5.1294 Å, b = 6.4324 Å, c = 10.5202 Å
α = 90.00°, β = 90.00°, γ = 90.00°
Space group Pmmn (No. 59, origin choice 2)
One atom of each set of equivalent atoms:
Mg 0.2500 0.0060 0.0936
Mg 0.2500 0.7500 0.3445
Mg 0.2500 0.7500 0.8535
U 0.2500 0.0057 0.5961
U 0.2500 0.2500 0.3748
U 0.2500 0.2500 0.7946

=====

Entry 4:
Entry from OQMD: crystalline MgU at its relaxed geometry (PBE).

Properties
Raw total energy = -6.17 eV/atom

a = 2.9110 Å, b = 4.9277 Å, c = 6.1044 Å
α = 90.00°, β = 90.00°, γ = 90.00°
Space group Pmmn (No. 59, origin choice 2)
One atom of each set of equivalent atoms:
Mg 0.2500 0.2500 0.0768
U 0.2500 0.7500 0.4460